Density functional theory data (PBE) for a relaxed structure of NpTiNi4.

It has space group F-43m (No. 216), with a = 6.913 Å, b = 6.913 Å, c = 6.913 Å, α = 90.00°, β = 90.00° and γ = 90.00°. Symmetry generates all atoms from Np at (0.000, 0.000, 0.000), Ti at (0.250, 0.250, 0.750) and Ni at (0.125, 0.125, 0.375).

The total energy comes out at -45.14 eV/f.u. As for the energy relative to the elements: -0.20 eV/atom.